# LaNd7Ho4

An optimized crystal structure of LaNd7Ho4 (PBE, Alexandria).

Values from the calculation:
Total magnetization: 0.1 μB per cell
ρ: 7.18 g/cm³
ΔE to the lowest computed polymorph: 230.3 meV per atom
ΔH_f (0 K): 0.2362 eV per atom

Cell: 12.176 6.064 12.811 Å, 90.00 117.88 90.00°
Space group C2/m (No. 12)
Inequivalent atoms, fractional coordinates:
La: 0.000 0.000 0.000 [2 per cell]
Nd: 0.000 0.500 0.000 [2 per cell]
Nd: 0.058 0.000 0.332 [4 per cell]
Nd: 0.131 0.500 0.504 [4 per cell]
Nd: 0.209 0.000 0.919 [4 per cell]
Ho: 0.134 0.500 0.775 [4 per cell]
Ho: 0.246 0.500 0.315 [4 per cell]